Entry from the Alexandria database: a relaxed structure of CaTc (GGA-PBE).

Energy relative to the lowest polymorph listed for this composition, eV per atom: 0.136
Total magnetization, Bohr magnetons per cell: 0.0
N(E_F), states/eV/atom: 1.136
DFT formation energy, kJ per mole of atoms: 33.7

Structure (extended XYZ):
```
8
Lattice="3.719 0.000 0.000 0.000 5.197 0.000 0.000 0.000 9.721" Properties=species:S:1:pos:R:3 pbc="T T T"
Ca 0.000 1.299 1.051
Ca 0.000 3.897 8.670
Ca 1.860 1.299 3.810
Ca 1.860 3.897 5.911
Tc 0.000 1.299 6.582
Tc 0.000 3.897 3.139
Tc 1.860 1.299 7.999
Tc 1.860 3.897 1.722
```